Entry 1:
# Pm4TePb2, optimized geometry, DFT PBE
data_Pm4TePb2
_cell_length_a 8.271
_cell_length_b 8.271
_cell_length_c 8.271
_cell_angle_alpha 109.50
_cell_angle_beta 109.50
_cell_angle_gamma 109.41
_symmetry_space_group_name_H-M 'P 1'
_symmetry_Int_Tables_number 1
loop_
_symmetry_equiv_pos_as_xyz
'x,y,z'
loop_
_atom_site_label
_atom_site_fract_x
_atom_site_fract_y
_atom_site_fract_z
Pm1 0.125 0.015 0.745
Pm2 0.129 0.520 0.755
Pm3 0.270 0.379 0.255
Pm4 0.480 0.235 0.609
Pm5 0.621 0.875 0.891
Pm6 0.625 0.871 0.391
Pm7 0.765 0.375 0.245
Pm8 0.985 0.730 0.109
Te1 0.250 0.750 0.500
Te2 0.500 0.500 0.000
Pb1 0.000 0.125 0.375
Pb2 0.375 0.000 0.125
Pb3 0.750 0.625 0.625
Pb4 0.875 0.250 0.875
# Crystal system = tetragonal
# Symmetry = No. 122
# Energy relative to the lowest polymorph listed for this composition = 0 kJ/mol of formula units
# DOS at the Fermi energy = 14.9 states/eV/cell
# VASP energy = -5.0111 eV/atom
# Spin magnetization = 0.00 μB/cell
# ρ = 8556 kg/m3
# Raw formation energy = -5.52 eV/f.u.



Entry 2:
# PmTe3Pb, optimized geometry, DFT PBE
data_PmTe3Pb
_cell_length_a 9.743
_cell_length_b 9.743
_cell_length_c 6.390
_cell_angle_alpha 90.09
_cell_angle_beta 90.09
_cell_angle_gamma 37.97
_symmetry_space_group_name_H-M 'P 1'
_symmetry_Int_Tables_number 1
loop_
_symmetry_equiv_pos_as_xyz
'x,y,z'
loop_
_atom_site_label
_atom_site_fract_x
_atom_site_fract_y
_atom_site_fract_z
Pm1 0.156 0.156 0.000
Pm2 0.844 0.844 0.000
Te1 0.000 0.000 0.219
Te2 0.000 0.000 0.781
Te3 0.190 0.190 0.500
Te4 0.332 0.332 0.001
Te5 0.668 0.668 0.999
Te6 0.810 0.810 0.500
Pb1 0.357 0.357 0.502
Pb2 0.643 0.643 0.498
# Crystal system = monoclinic
# Symmetry = No. 12
# VASP energy = -4.4021 eV/atom
# Spin magnetization = 0.00 μB/cell
# ρ = 6542 kg/m3
# Raw formation energy = -4.13 eV/f.u.